P) A relaxed FePd2Ru crystal. Source: the Alexandria database, functional PBE.

```
data_FePd2Ru
_chemical_formula_sum 'Fe4 Pd8 Ru4'
_symmetry_space_group_name_H-M 'P 1'
_symmetry_Int_Tables_number 1
_cell_length_a 6.956
_cell_length_b 6.956
_cell_length_c 5.225
_cell_angle_alpha 90.00
_cell_angle_beta 90.00
_cell_angle_gamma 90.00
loop_
_symmetry_equiv_pos_as_xyz
'x,y,z'
loop_
_atom_site_label
_atom_site_type_symbol
_atom_site_fract_x
_atom_site_fract_y
_atom_site_fract_z
Fe1 Fe 0.000 0.000 0.000
Fe2 Fe 0.000 0.500 0.250
Fe3 Fe 0.500 0.000 0.750
Fe4 Fe 0.500 0.500 0.500
Pd1 Pd 0.231 0.250 0.125
Pd2 Pd 0.250 0.731 0.375
Pd3 Pd 0.250 0.769 0.875
Pd4 Pd 0.269 0.250 0.625
Pd5 Pd 0.731 0.750 0.625
Pd6 Pd 0.750 0.231 0.875
Pd7 Pd 0.750 0.269 0.375
Pd8 Pd 0.769 0.750 0.125
Ru1 Ru 0.000 0.000 0.500
Ru2 Ru 0.000 0.500 0.750
Ru3 Ru 0.500 0.000 0.250
Ru4 Ru 0.500 0.500 0.000
```

Results
The space group is I-42d.

---

Q) A relaxed FePd2Ru crystal. Source: the Alexandria database, functional PBE.

```
data_FePd2Ru
_chemical_formula_sum 'Fe4 Pd8 Ru4'
_symmetry_space_group_name_H-M 'P 1'
_symmetry_Int_Tables_number 1
_cell_length_a 6.085
_cell_length_b 6.085
_cell_length_c 6.085
_cell_angle_alpha 90.00
_cell_angle_beta 90.00
_cell_angle_gamma 90.00
loop_
_symmetry_equiv_pos_as_xyz
'x,y,z'
loop_
_atom_site_label
_atom_site_type_symbol
_atom_site_fract_x
_atom_site_fract_y
_atom_site_fract_z
Fe1 Fe 0.000 0.000 0.000
Fe2 Fe 0.000 0.500 0.500
Fe3 Fe 0.500 0.000 0.500
Fe4 Fe 0.500 0.500 0.000
Pd1 Pd 0.250 0.250 0.250
Pd2 Pd 0.250 0.250 0.750
Pd3 Pd 0.250 0.750 0.250
Pd4 Pd 0.250 0.750 0.750
Pd5 Pd 0.750 0.250 0.250
Pd6 Pd 0.750 0.250 0.750
Pd7 Pd 0.750 0.750 0.250
Pd8 Pd 0.750 0.750 0.750
Ru1 Ru 0.000 0.000 0.500
Ru2 Ru 0.000 0.500 0.000
Ru3 Ru 0.500 0.000 0.000
Ru4 Ru 0.500 0.500 0.500
```

Results
The space group is Fm-3m.

---

Verdict on stability: P) comes out at the bottom.